DFT (PBE+U) results for a geometry-optimized PaNi3O6 structure.

Geometry as POSCAR:
```
PaNi3O6
1.0
2.636 1.522 4.733
-2.636 1.522 4.733
0.000 -3.044 4.733
Pa Ni O
1 3 6
Direct
0.000 0.000 0.000
0.204 0.204 0.204
0.507 0.507 0.507
0.707 0.707 0.707
0.099 0.806 0.418
0.327 0.575 0.917
0.418 0.099 0.806
0.575 0.917 0.327
0.806 0.418 0.099
0.917 0.327 0.575
```

Computed properties:
* total energy: -64.858 eV/cell
* space group: R3 (146)
* magnetic moment: 5.0 μB/cell